a | A geometry-optimized InGaAu4 structure, computed with PBE.

Unit cell a=5.579 b=5.579 c=5.579 alpha=60.00 beta=60.00 gamma=60.00
Fractional coordinates of all 6 atoms:
In (0.000, 0.000, 0.000)
Ga (0.250, 0.250, 0.250)
Au (0.125, 0.625, 0.625)
Au (0.625, 0.125, 0.625)
Au (0.625, 0.625, 0.125)
Au (0.625, 0.625, 0.625)

Summary:
D(E_F) in states/eV per atom: 0.241
Space group: F-43m (216)
V in Å³ per atom: 20.462

b | A geometry-optimized InGaAu4 structure, computed with PBE.

Unit cell a=7.025 b=7.025 c=5.958 alpha=114.15 beta=114.15 gamma=70.02
Fractional coordinates of all 12 atoms:
In (0.140, 0.140, 0.366)
In (0.860, 0.860, 0.634)
Ga (0.446, 0.446, 0.227)
Ga (0.554, 0.554, 0.773)
Au (0.162, 0.533, 0.799)
Au (0.171, 0.171, 0.932)
Au (0.232, 0.768, 0.500)
Au (0.467, 0.838, 0.201)
Au (0.533, 0.162, 0.799)
Au (0.768, 0.232, 0.500)
Au (0.829, 0.829, 0.068)
Au (0.838, 0.467, 0.201)

Summary:
D(E_F) in states/eV per atom: 0.277
Space group: C2/m (12)
V in Å³ per atom: 19.951

c | A geometry-optimized InGaAu4 structure, computed with PBE.

Unit cell a=5.215 b=5.932 c=7.642 alpha=90.00 beta=105.75 gamma=90.00
Fractional coordinates of all 12 atoms:
In (0.139, 0.250, 0.362)
In (0.861, 0.750, 0.638)
Ga (0.241, 0.250, 0.974)
Ga (0.759, 0.750, 0.026)
Au (0.147, 0.750, 0.359)
Au (0.236, 0.750, 0.993)
Au (0.398, 0.502, 0.705)
Au (0.398, 0.998, 0.705)
Au (0.602, 0.002, 0.295)
Au (0.602, 0.498, 0.295)
Au (0.764, 0.250, 0.007)
Au (0.853, 0.250, 0.641)

Summary:
D(E_F) in states/eV per atom: 0.369
Space group: P2_1/m (11)
V in Å³ per atom: 18.958

Most stable to least stable, the ends of the list are c and a.

a | A geometry-optimized InGa2Au7 structure, computed with PBE.

Unit cell a=7.831 b=7.831 c=4.329 alpha=90.00 beta=90.00 gamma=122.81
Fractional coordinates of all 10 atoms:
In (0.000, 0.000, 0.000)
Ga (0.309, 0.691, 0.500)
Ga (0.691, 0.309, 0.500)
Au (0.078, 0.299, 0.500)
Au (0.213, 0.787, 0.000)
Au (0.299, 0.078, 0.500)
Au (0.500, 0.500, 0.500)
Au (0.701, 0.922, 0.500)
Au (0.787, 0.213, 0.000)
Au (0.922, 0.701, 0.500)

Summary:
D(E_F) in states/eV per atom: 0.284
Space group: Cmmm (65)
V in Å³ per atom: 22.315

b | A geometry-optimized InGa2Au7 structure, computed with PBE.

Unit cell a=7.390 b=7.390 c=10.853 alpha=112.22 beta=112.22 gamma=44.72
Fractional coordinates of all 20 atoms:
In (0.068, 0.932, 0.750)
In (0.932, 0.068, 0.250)
Ga (0.212, 0.391, 0.710)
Ga (0.391, 0.212, 0.210)
Ga (0.609, 0.788, 0.790)
Ga (0.788, 0.609, 0.290)
Au (0.054, 0.348, 0.866)
Au (0.130, 0.717, 0.959)
Au (0.151, 0.568, 0.493)
Au (0.283, 0.870, 0.541)
Au (0.348, 0.054, 0.366)
Au (0.428, 0.572, 0.250)
Au (0.432, 0.849, 0.007)
Au (0.568, 0.151, 0.993)
Au (0.572, 0.428, 0.750)
Au (0.652, 0.946, 0.634)
Au (0.717, 0.130, 0.459)
Au (0.849, 0.432, 0.507)
Au (0.870, 0.283, 0.041)
Au (0.946, 0.652, 0.134)

Summary:
D(E_F) in states/eV per atom: 0.297
Space group: C2/c (15)
V in Å³ per atom: 19.027

Most stable to least stable, the ends of the list are b and a.

a | A geometry-optimized In2GaAu2 structure, computed with PBE.

Unit cell a=8.693 b=8.693 c=2.944 alpha=90.00 beta=90.00 gamma=90.00
Fractional coordinates of all 10 atoms:
In (0.138, 0.362, 0.000)
In (0.362, 0.862, 0.000)
In (0.638, 0.138, 0.000)
In (0.862, 0.638, 0.000)
Ga (0.000, 0.000, 0.000)
Ga (0.500, 0.500, 0.000)
Au (0.160, 0.660, 0.500)
Au (0.340, 0.160, 0.500)
Au (0.660, 0.840, 0.500)
Au (0.840, 0.340, 0.500)

Summary:
D(E_F) in states/eV per atom: 0.424
Space group: P4/mbm (127)
V in Å³ per atom: 22.246

b | A geometry-optimized In2GaAu2 structure, computed with PBE.

Unit cell a=6.973 b=6.973 c=6.973 alpha=143.02 beta=143.02 gamma=53.29
Fractional coordinates of all 5 atoms:
In (0.250, 0.750, 0.500)
In (0.750, 0.250, 0.500)
Ga (0.000, 0.000, 0.000)
Au (0.392, 0.392, 0.000)
Au (0.608, 0.608, 0.000)

Summary:
D(E_F) in states/eV per atom: 0.381
Space group: I4/mmm (139)
V in Å³ per atom: 24.377

Most stable to least stable, the ends of the list are a and b.

a | A geometry-optimized In2GaAu2 structure, computed with PBE.

Unit cell a=7.209 b=7.209 c=4.270 alpha=90.00 beta=90.00 gamma=90.00
Fractional coordinates of all 10 atoms:
In (0.163, 0.337, 0.000)
In (0.337, 0.837, 0.000)
In (0.663, 0.163, 0.000)
In (0.837, 0.663, 0.000)
Ga (0.000, 0.000, 0.500)
Ga (0.500, 0.500, 0.500)
Au (0.145, 0.645, 0.500)
Au (0.355, 0.145, 0.500)
Au (0.645, 0.855, 0.500)
Au (0.855, 0.355, 0.500)

Summary:
D(E_F) in states/eV per atom: 0.453
Space group: P4/mbm (127)
V in Å³ per atom: 22.194

b | A geometry-optimized In2GaAu2 structure, computed with PBE.

Unit cell a=8.305 b=8.305 c=8.305 alpha=153.09 beta=153.09 gamma=38.42
Fractional coordinates of all 5 atoms:
In (0.106, 0.106, 0.000)
In (0.894, 0.894, 0.000)
Ga (0.500, 0.500, 0.000)
Au (0.250, 0.750, 0.500)
Au (0.750, 0.250, 0.500)

Summary:
D(E_F) in states/eV per atom: 0.376
Space group: I4/mmm (139)
V in Å³ per atom: 23.426

Most stable to least stable, the ends of the list are a and b.

a | A geometry-optimized In5Ga2Au12 structure, computed with PBE.

Unit cell a=7.577 b=7.577 c=7.345 alpha=103.98 beta=103.98 gamma=72.90
Fractional coordinates of all 19 atoms:
In (0.000, 0.000, 0.000)
In (0.292, 0.292, 0.369)
In (0.330, 0.330, 0.919)
In (0.670, 0.670, 0.081)
In (0.708, 0.708, 0.631)
Ga (0.241, 0.759, 0.500)
Ga (0.759, 0.241, 0.500)
Au (0.084, 0.631, 0.144)
Au (0.098, 0.642, 0.737)
Au (0.133, 0.133, 0.575)
Au (0.358, 0.902, 0.263)
Au (0.369, 0.916, 0.856)
Au (0.494, 0.494, 0.708)
Au (0.506, 0.506, 0.292)
Au (0.631, 0.084, 0.144)
Au (0.642, 0.098, 0.737)
Au (0.867, 0.867, 0.425)
Au (0.902, 0.358, 0.263)
Au (0.916, 0.369, 0.856)

Summary:
D(E_F) in states/eV per atom: 0.305
Space group: C2/m (12)
V in Å³ per atom: 20.230

b | A geometry-optimized In5Ga2Au12 structure, computed with PBE.

Unit cell a=7.378 b=7.378 c=8.019 alpha=104.73 beta=104.73 gamma=75.54
Fractional coordinates of all 19 atoms:
In (0.000, 0.000, 0.000)
In (0.279, 0.279, 0.412)
In (0.325, 0.325, 0.926)
In (0.675, 0.675, 0.074)
In (0.721, 0.721, 0.588)
Ga (0.252, 0.748, 0.500)
Ga (0.748, 0.252, 0.500)
Au (0.012, 0.012, 0.335)
Au (0.083, 0.611, 0.159)
Au (0.112, 0.580, 0.690)
Au (0.389, 0.917, 0.841)
Au (0.420, 0.888, 0.310)
Au (0.486, 0.486, 0.282)
Au (0.514, 0.514, 0.718)
Au (0.580, 0.112, 0.690)
Au (0.611, 0.083, 0.159)
Au (0.888, 0.420, 0.310)
Au (0.917, 0.389, 0.841)
Au (0.988, 0.988, 0.665)

Summary:
D(E_F) in states/eV per atom: 0.238
Space group: C2/m (12)
V in Å³ per atom: 21.066

Most stable to least stable, the ends of the list are a and b.

a | A geometry-optimized In2GaAu3 structure, computed with PBE.

Unit cell a=7.308 b=7.308 c=6.698 alpha=101.36 beta=101.36 gamma=125.63
Fractional coordinates of all 12 atoms:
In (0.072, 0.928, 0.750)
In (0.222, 0.778, 0.250)
In (0.778, 0.222, 0.750)
In (0.928, 0.072, 0.250)
Ga (0.400, 0.600, 0.750)
Ga (0.600, 0.400, 0.250)
Au (0.000, 0.500, 0.500)
Au (0.230, 0.385, 0.037)
Au (0.385, 0.230, 0.537)
Au (0.500, 0.000, 0.000)
Au (0.615, 0.770, 0.463)
Au (0.770, 0.615, 0.963)

Summary:
D(E_F) in states/eV per atom: 0.420
Space group: C2/c (15)
V in Å³ per atom: 21.860

b | A geometry-optimized In2GaAu3 structure, computed with PBE.

Unit cell a=7.116 b=7.116 c=5.757 alpha=90.00 beta=90.00 gamma=63.56
Fractional coordinates of all 12 atoms:
In (0.006, 0.348, 0.000)
In (0.348, 0.006, 0.500)
In (0.652, 0.994, 0.000)
In (0.994, 0.652, 0.500)
Ga (0.302, 0.698, 0.999)
Ga (0.698, 0.302, 0.499)
Au (0.000, 0.000, 0.249)
Au (0.000, 0.000, 0.749)
Au (0.356, 0.356, 0.250)
Au (0.356, 0.356, 0.750)
Au (0.644, 0.644, 0.250)
Au (0.644, 0.644, 0.750)

Summary:
D(E_F) in states/eV per atom: 0.447
Space group: Cmc2_1 (36)
V in Å³ per atom: 21.751

Most stable to least stable, the ends of the list are b and a.

a | A geometry-optimized GaIrAu structure, computed with PBE.

Unit cell a=5.546 b=5.546 c=5.546 alpha=148.07 beta=148.07 gamma=45.78
Fractional coordinates of all 3 atoms:
Ga (0.000, 0.000, 0.000)
Ir (0.631, 0.631, 0.000)
Au (0.327, 0.327, 0.000)

Summary:
D(E_F) in states/eV per atom: 0.173
Space group: I4mm (107)
V in Å³ per atom: 15.848

b | A geometry-optimized GaIrAu structure, computed with PBE.

Unit cell a=4.358 b=4.358 c=5.829 alpha=90.00 beta=90.00 gamma=120.00
Fractional coordinates of all 6 atoms:
Ga (0.333, 0.667, 0.250)
Ga (0.667, 0.333, 0.750)
Ir (0.333, 0.667, 0.750)
Ir (0.667, 0.333, 0.250)
Au (0.000, 0.000, 0.000)
Au (0.000, 0.000, 0.500)

Summary:
D(E_F) in states/eV per atom: 0.433
Space group: P6_3/mmc (194)
V in Å³ per atom: 15.979

Most stable to least stable, the ends of the list are a and b.

a | A geometry-optimized GaIrAu3 structure, computed with PBE.

Unit cell a=4.714 b=4.714 c=4.714 alpha=90.00 beta=90.00 gamma=90.00
Fractional coordinates of all 5 atoms:
Ga (0.000, 0.000, 0.000)
Ir (0.500, 0.500, 0.500)
Au (0.000, 0.000, 0.500)
Au (0.000, 0.500, 0.000)
Au (0.500, 0.000, 0.000)

Summary:
D(E_F) in states/eV per atom: 0.854
Space group: Pm-3m (221)
V in Å³ per atom: 20.950

b | A geometry-optimized GaIrAu3 structure, computed with PBE.

Unit cell a=5.082 b=5.082 c=5.082 alpha=90.00 beta=90.00 gamma=90.00
Fractional coordinates of all 5 atoms:
Ga (0.000, 0.000, 0.000)
Ir (0.500, 0.500, 0.500)
Au (0.000, 0.500, 0.500)
Au (0.500, 0.000, 0.500)
Au (0.500, 0.500, 0.000)

Summary:
D(E_F) in states/eV per atom: 1.083
Space group: Pm-3m (221)
V in Å³ per atom: 26.254

Most stable to least stable, the ends of the list are b and a.

a | A geometry-optimized La2GaIrAu structure, computed with PBE.

Unit cell a=5.557 b=5.557 c=4.760 alpha=90.00 beta=90.00 gamma=90.00
Fractional coordinates of all 5 atoms:
La (0.000, 0.500, 0.000)
La (0.500, 0.000, 0.000)
Ga (0.000, 0.000, 0.500)
Ir (0.000, 0.000, 0.000)
Au (0.500, 0.500, 0.500)

Summary:
D(E_F) in states/eV per atom: 0.574
Space group: P4/mmm (123)
V in Å³ per atom: 29.400

b | A geometry-optimized La2GaIrAu structure, computed with PBE.

Unit cell a=7.692 b=4.382 c=7.819 alpha=90.00 beta=110.57 gamma=90.00
Fractional coordinates of all 10 atoms:
La (0.128, 0.250, 0.356)
La (0.282, 0.250, 0.958)
La (0.718, 0.750, 0.042)
La (0.872, 0.750, 0.644)
Ga (0.453, 0.750, 0.335)
Ga (0.547, 0.250, 0.665)
Ir (0.127, 0.750, 0.106)
Ir (0.873, 0.250, 0.894)
Au (0.324, 0.750, 0.666)
Au (0.676, 0.250, 0.334)

Summary:
D(E_F) in states/eV per atom: 0.752
Space group: P2_1/m (11)
V in Å³ per atom: 24.675

Most stable to least stable, the ends of the list are b and a.

a | A geometry-optimized ZrGaIrAu structure, computed with PBE.

Unit cell a=4.899 b=4.899 c=4.412 alpha=110.79 beta=110.79 gamma=45.98
Fractional coordinates of all 4 atoms:
Zr (0.000, 0.000, 0.000)
Ga (0.239, 0.239, 0.686)
Ir (0.740, 0.740, 0.202)
Au (0.504, 0.504, 0.515)

Summary:
D(E_F) in states/eV per atom: 0.564
Space group: Cm (8)
V in Å³ per atom: 17.560

b | A geometry-optimized ZrGaIrAu structure, computed with PBE.

Unit cell a=5.221 b=5.221 c=5.221 alpha=48.89 beta=48.89 gamma=48.89
Fractional coordinates of all 4 atoms:
Zr (0.000, 0.000, 0.000)
Ga (0.785, 0.785, 0.785)
Ir (0.425, 0.425, 0.425)
Au (0.217, 0.217, 0.217)

Summary:
D(E_F) in states/eV per atom: 0.550
Space group: R3m (160)
V in Å³ per atom: 18.544

c | A geometry-optimized ZrGaIrAu structure, computed with PBE.

Unit cell a=3.076 b=3.076 c=7.277 alpha=90.00 beta=90.00 gamma=90.00
Fractional coordinates of all 4 atoms:
Zr (0.000, 0.000, 0.000)
Ga (0.000, 0.000, 0.537)
Ir (0.500, 0.500, 0.741)
Au (0.500, 0.500, 0.290)

Summary:
D(E_F) in states/eV per atom: 0.526
Space group: P4mm (99)
V in Å³ per atom: 17.215

d | A geometry-optimized ZrGaIrAu structure, computed with PBE.

Unit cell a=3.906 b=5.822 c=5.822 alpha=34.51 beta=90.00 gamma=90.00
Fractional coordinates of all 4 atoms:
Zr (0.000, 0.000, 0.000)
Ga (0.500, 0.327, 0.327)
Ir (0.500, 0.559, 0.559)
Au (0.000, 0.742, 0.742)

Summary:
D(E_F) in states/eV per atom: 0.523
Space group: Amm2 (38)
V in Å³ per atom: 18.756

Most stable to least stable, the ends of the list are b and d.